Here is a crystal of CaLa2Y relaxed with PBEsol from Alexandria via LeMat-Bulk. Energies are from meta-GGA SCAN.

Values from the calculation:
Final energy   -30.84 eV/atom
ΔE_f   0.088 eV/atom
D(E_F)   5.4 states/eV per cell
Space group   Cmmm, No. 65
E above lowest polymorph   29 meV per atom

```
CaLa2Y
1.0
-2.364 1.219 -2.325
-1.322 -2.334 2.300
-2.808 9.116 7.635
Y Ca La
1 1 2
Direct
0.500 0.500 0.500
0.500 0.500 0.000
0.000 0.000 0.735
0.000 0.000 0.265
```